1.
The following is a PBE calculation of crystalline Er2Al17 at its relaxed geometry, from OQMD via LeMat-Bulk.

Summary:
VASP energy: -3.92 eV/atom
magnetization: 0.004 μB per formula unit

Lattice parameters (Å, degrees): 9.3599 9.3599 9.0529 90.00 90.00 120.00
With the nearest neighbours (Å) after each atom.
Space group P6_3/mmc (No. 194)
One atom of each set of equivalent atoms:
Er: 0.0000 0.0000 0.2500 (multiplicity 2)  18 Al 3.26-3.63
Er: 0.3333 0.6667 0.2500 (multiplicity 2)  20 Al 3.19-3.52
Al: 0.0000 0.5000 0.0000 (multiplicity 6)  10 Al 2.70-2.85
Al: 0.0368 0.3649 0.7500 (multiplicity 12)  8 Al 2.70-2.87
Al: 0.1637 0.3273 0.0239 (multiplicity 12)  9 Al 2.69-2.98
Al: 0.3333 0.6667 0.6018 (multiplicity 4)  7 Al 2.68-2.98

=====

2.
The following is a PBE calculation of crystalline Li2LuOs at its relaxed geometry, from OQMD via LeMat-Bulk.

Summary:
VASP energy: -4.73 eV/atom
magnetization: 0.005 μB per formula unit

Lattice parameters (Å, degrees): 6.4545 6.4545 6.4545 90.00 90.00 90.00
With the nearest neighbours (Å) after each atom.
Space group F-43m (No. 216)
One atom of each set of equivalent atoms:
Li: 0.0000 0.0000 0.0000 (multiplicity 4)  4 Li 2.79, 4 Os 2.79
Li: 0.2500 0.2500 0.2500 (multiplicity 4)  4 Lu 2.79, 4 Li 2.79
Lu: 0.0000 0.0000 0.5000 (multiplicity 4)  4 Os 2.79, 4 Li 2.79
Os: 0.2500 0.2500 0.7500 (multiplicity 4)  4 Li 2.79, 4 Lu 2.79

=====

3.
The following is a PBE calculation of crystalline NdGdAg2Sn2 at its relaxed geometry, from OQMD via LeMat-Bulk.

Summary:
VASP energy: -4.47 eV/atom
magnetization: 0.005 μB per formula unit

Lattice parameters (Å, degrees): 4.7750 4.7750 7.4956 90.00 90.00 120.00
With the nearest neighbours (Å) after each atom.
Space group P3m1 (No. 156)
One atom of each set of equivalent atoms:
Nd: 0.0000 0.0000 0.0000 (multiplicity 1)  3 Ag 3.14, 6 Sn 3.23-3.48
Gd: 0.0000 0.0000 0.5010 (multiplicity 1)  3 Ag 3.10, 6 Sn 3.20-3.44
Ag: 0.3333 0.6667 0.6901 (multiplicity 1)  4 Sn 2.83-3.05, 3 Gd 3.10
Ag: 0.6667 0.3333 0.2019 (multiplicity 1)  3 Sn 2.82, 3 Nd 3.14
Sn: 0.3333 0.6667 0.2834 (multiplicity 1)  4 Ag 2.82-3.05
Sn: 0.6667 0.3333 0.7751 (multiplicity 1)  3 Ag 2.83

=====

4.
The following is a PBE calculation of crystalline Hf2Tc at its relaxed geometry, from OQMD via LeMat-Bulk.

Summary:
energy of formation: 2.057 eV per atom
energy above the most stable polymorph in this dataset: 2413.6 meV per atom
magnetization: 0.013 μB per formula unit

Lattice parameters (Å, degrees): 11.0759 11.0759 11.0759 90.00 90.00 90.00
With the nearest neighbours (Å) after each atom.
Space group Fd-3m (No. 227, origin choice 2)
One atom of each set of equivalent atoms:
Hf: 0.0000 0.0000 0.0000 (multiplicity 16)  2 Tc 2.40
Tc: 0.1250 0.1250 0.1250 (multiplicity 8)  4 Hf 2.40

=====

5.
The following is a PBE calculation of crystalline ErBrO at its relaxed geometry, from OQMD via LeMat-Bulk.

Summary:
VASP energy: -6.66 eV/atom
magnetization: 0.002 μB per formula unit

Lattice parameters (Å, degrees): 3.8165 3.8165 8.1963 90.00 90.00 90.00
With the nearest neighbours (Å) after each atom.
Space group P4/nmm (No. 129, origin choice 2)
One atom of each set of equivalent atoms:
Er: 0.2500 0.2500 0.1359 (multiplicity 2)  4 O 2.21
Br: 0.2500 0.2500 0.6652 (multiplicity 2)  4 Er 3.15, 4 O 3.34
O: 0.2500 0.7500 0.0000 (multiplicity 2)  4 Er 2.21

=====

6.
The following is a PBE calculation of crystalline TaFeCuBi at its relaxed geometry, from OQMD via LeMat-Bulk.

Summary:
energy above the most stable polymorph in this dataset: 164.1 meV per atom
magnetization: 1.167 μB per formula unit

Lattice parameters (Å, degrees): 6.5158 6.5158 6.5158 90.00 90.00 90.00
With the nearest neighbours (Å) after each atom.
Space group F-43m (No. 216)
One atom of each set of equivalent atoms:
Ta: 0.0000 0.0000 0.0000 (multiplicity 4)  4 Fe 2.82, 4 Bi 2.82
Fe: 0.2500 0.2500 0.7500 (multiplicity 4)  4 Ta 2.82, 4 Cu 2.82
Cu: 0.0000 0.0000 0.5000 (multiplicity 4)  4 Fe 2.82, 4 Bi 2.82
Bi: 0.2500 0.2500 0.2500 (multiplicity 4)  4 Ta 2.82, 4 Cu 2.82

=====

7.
The following is a PBE calculation of crystalline NbAlCdNi at its relaxed geometry, from OQMD via LeMat-Bulk.

Summary:
VASP energy: -4.92 eV/atom
magnetization: 0.238 μB per formula unit

Lattice parameters (Å, degrees): 6.3834 6.3834 6.3834 90.00 90.00 90.00
With the nearest neighbours (Å) after each atom.
Space group F-43m (No. 216)
One atom of each set of equivalent atoms:
Nb: 0.0000 0.0000 0.0000 (multiplicity 4)  4 Cd 2.76, 4 Al 2.76
Al: 0.2500 0.2500 0.2500 (multiplicity 4)  4 Nb 2.76, 4 Ni 2.76
Cd: 0.2500 0.2500 0.7500 (multiplicity 4)  4 Nb 2.76, 4 Ni 2.76
Ni: 0.0000 0.0000 0.5000 (multiplicity 4)  4 Al 2.76, 4 Cd 2.76

=====

8.
The following is a PBE calculation of crystalline LiScNiAs at its relaxed geometry, from OQMD via LeMat-Bulk.

Summary:
energy above the most stable polymorph in this dataset: 42.0 meV per atom
magnetization: 0.000 μB per formula unit

Lattice parameters (Å, degrees): 6.0643 6.0643 6.0643 90.00 90.00 90.00
With the nearest neighbours (Å) after each atom.
Space group F-43m (No. 216)
One atom of each set of equivalent atoms:
Li: 0.0000 0.0000 0.0000 (multiplicity 4)  4 Sc 2.63, 4 As 2.63
Sc: 0.2500 0.2500 0.2500 (multiplicity 4)  4 Ni 2.63, 4 Li 2.63
Ni: 0.0000 0.0000 0.5000 (multiplicity 4)  4 As 2.63, 4 Sc 2.63
As: 0.2500 0.2500 0.7500 (multiplicity 4)  4 Li 2.63, 4 Ni 2.63

=====

9.
The following is a PBE calculation of crystalline PrSi2IrOs at its relaxed geometry, from OQMD via LeMat-Bulk.

Summary:
VASP energy: -8.03 eV/atom
magnetization: 0.001 μB per formula unit

Lattice parameters (Å, degrees): 4.1859 4.1859 10.0379 90.00 90.00 90.00
With the nearest neighbours (Å) after each atom.
Space group I-4m2 (No. 119)
One atom of each set of equivalent atoms:
Pr: 0.0000 0.0000 0.0000 (multiplicity 2)  8 Si 3.23, 4 Os 3.27, 4 Ir 3.27
Si: 0.0000 0.0000 0.3704 (multiplicity 4)  2 Os 2.42, 2 Ir 2.42, 1 Si 2.60
Ir: 0.0000 0.5000 0.7500 (multiplicity 2)  4 Si 2.42
Os: 0.0000 0.5000 0.2500 (multiplicity 2)  4 Si 2.42

=====

10.
The following is a PBE calculation of crystalline LiTlSiPd at its relaxed geometry, from OQMD via LeMat-Bulk.

Summary:
energy above the most stable polymorph in this dataset: 44.3 meV per atom

Lattice parameters (Å, degrees): 6.4779 6.4779 6.4779 90.00 90.00 90.00
With the nearest neighbours (Å) after each atom.
Space group F-43m (No. 216)
One atom of each set of equivalent atoms:
Li: 0.0000 0.0000 0.0000 (multiplicity 4)  4 Tl 2.81, 4 Pd 2.81
Tl: 0.2500 0.2500 0.2500 (multiplicity 4)  4 Li 2.81, 4 Si 2.81
Si: 0.0000 0.0000 0.5000 (multiplicity 4)  4 Tl 2.81, 4 Pd 2.81
Pd: 0.2500 0.2500 0.7500 (multiplicity 4)  4 Li 2.81, 4 Si 2.81

=====

11.
The following is a PBE calculation of crystalline HoHfSi2 at its relaxed geometry, from OQMD via LeMat-Bulk.

Summary:
energy above the most stable polymorph in this dataset: 31.7 meV per atom
magnetization: 0.001 μB per formula unit

Lattice parameters (Å, degrees): 3.7631 5.4650 7.3958 90.00 90.00 90.00
With the nearest neighbours (Å) after each atom.
Space group Pmc2_1 (No. 26)
One atom of each set of equivalent atoms:
Ho: 0.0000 0.1287 0.0000 (multiplicity 2)  7 Si 2.81-3.04
Hf: 0.5000 0.3731 0.6418 (multiplicity 2)  7 Si 2.79-2.98
Si: 0.0000 0.3909 0.3628 (multiplicity 2)  2 Si 2.46
Si: 0.5000 0.1221 0.2838 (multiplicity 2)  2 Si 2.46

=====

12.
The following is a PBE calculation of crystalline La3PrGa4 at its relaxed geometry, from OQMD via LeMat-Bulk.

Summary:
VASP energy: -4.52 eV/atom
magnetization: 0.000 μB per formula unit

Lattice parameters (Å, degrees): 5.9950 5.7427 6.0063 90.00 100.86 90.00
With the nearest neighbours (Å) after each atom.
Space group Pm (No. 6)
One atom of each set of equivalent atoms:
La: 0.0000 0.0000 0.0000 (multiplicity 1)  8 Ga 3.17-3.52, 1 Pr 3.34, 2 La 3.40
La: 0.3092 0.5000 0.0315 (multiplicity 1)  8 Ga 3.17-3.52, 3 La 3.32-3.40
La: 0.6665 0.5000 0.6714 (multiplicity 1)  8 Ga 3.17-3.54, 1 La 3.32, 2 Pr 3.42
Pr: 0.6363 0.0000 0.3584 (multiplicity 1)  8 Ga 3.15-3.51, 3 La 3.34-3.42
Ga: 0.1534 0.2499 0.5143 (multiplicity 2)  4 Ga 2.77-2.87
Ga: 0.4651 0.0000 0.8227 (multiplicity 1)  2 Ga 2.77
Ga: 0.8429 0.5000 0.2066 (multiplicity 1)  2 Ga 2.77